# 1
DFT (GGA-PBE) results for CuReW2 after structural relaxation.

The structure in extended XYZ format:
```
4
Lattice="2.679 0.000 0.000 0.000 2.679 0.000 0.000 0.000 8.398" Properties=species:S:1:pos:R:3 pbc="T T T"
Cu 0.000 0.000 4.227
W 0.000 0.000 8.361
W 1.340 1.340 2.247
Re 1.340 1.340 6.160
```

The calculation puts the excess energy over the best structure of this formula in the dataset at 0.678 eV per formula unit. The space group is P4mm (99). The formation energy is 0.393 eV/atom.

---

# 2
DFT (GGA-PBE) results for TeMoPN2 after structural relaxation.

The structure in extended XYZ format:
```
5
Lattice="-3.476 0.854 0.575 -0.964 -3.413 -0.753 0.723 -1.738 6.954" Properties=species:S:1:pos:R:3 pbc="T T T"
Te 0.361 -0.869 3.477
Mo -1.858 -2.148 3.388
P 0.000 0.000 0.000
N -1.738 0.427 0.287
N -0.482 -1.706 -0.376
```

The calculation puts the excess energy over the best structure of this formula in the dataset at 3.702 eV per formula unit. The space group is P4/mmm (123).

---

# 3
DFT (GGA-PBE) results for Ba2Ge2Sb after structural relaxation.

The structure in extended XYZ format:
```
10
Lattice="-3.603 -6.826 2.454 7.106 -3.872 -0.337 0.888 1.222 4.702" Properties=species:S:1:pos:R:3 pbc="T T T"
Ge -1.414 -4.598 1.462
Ge 4.917 -6.101 0.656
Ge 2.367 -2.263 0.141
Ge 1.136 -8.435 1.977
Sb 0.000 0.000 0.000
Sb 1.751 -5.349 1.059
Ba 0.618 -2.257 3.063
Ba 3.773 -7.220 3.756
Ba 4.644 -3.299 2.573
Ba -0.252 -6.178 4.246
```

The calculation puts the excess energy over the best structure of this formula in the dataset at 0.000 eV per formula unit. The space group is P4/mbm (127).

---

# 4
DFT (GGA-PBE) results for CuRhCS after structural relaxation.

The structure in extended XYZ format:
```
8
Lattice="-1.010 -4.075 0.282 2.423 -0.715 -1.655 5.048 1.080 6.923" Properties=species:S:1:pos:R:3 pbc="T T T"
C 1.326 -2.501 0.266
C 2.639 -1.604 4.555
Cu 4.667 -1.636 4.782
Cu 0.931 -1.818 2.148
S 2.211 -0.390 3.405
S 5.946 -0.208 6.039
Rh 3.191 -3.235 3.312
Rh -0.545 -3.417 0.678
```

The calculation puts the excess energy over the best structure of this formula in the dataset at 0.428 eV per formula unit. The space group is Cm (8).

---

# 5
DFT (GGA-PBE) results for ZrPbSN2 after structural relaxation.

The structure in extended XYZ format:
```
5
Lattice="-0.417 4.002 -1.582 0.177 -1.572 -4.023 -4.997 -0.526 -0.015" Properties=species:S:1:pos:R:3 pbc="T T T"
S -2.499 -0.263 -0.007
N -0.208 2.001 -0.791
N 0.089 -0.786 -2.012
Pb 0.000 0.000 0.000
Zr -2.618 0.952 -2.810
```

The calculation puts the raw total energy at -26.9 eV for the cell shown. The space group is P4/mmm (123).

---

# 6
DFT (GGA-PBE) results for BaSiAg2B after structural relaxation.

The structure in extended XYZ format:
```
5
Lattice="4.669 0.000 0.000 0.000 4.745 0.000 0.000 0.000 4.669" Properties=species:S:1:pos:R:3 pbc="T T T"
Ba 2.335 2.373 2.335
B 0.000 0.000 0.000
Ag 0.000 0.000 2.335
Ag 2.335 0.000 0.000
Si 0.000 2.373 0.000
```

The calculation puts the raw total energy at -18.1 eV for the cell shown. The space group is P4/mmm (123).

---

# 7
DFT (GGA-PBE) results for Cs2MgTlHg6 after structural relaxation.

The structure in extended XYZ format:
```
10
Lattice="-8.045 -1.136 1.034 0.935 -8.013 -1.415 -2.665 -5.436 5.494" Properties=species:S:1:pos:R:3 pbc="T T T"
Hg -6.649 -9.593 2.556
Hg -7.938 -12.221 5.210
Hg -1.837 -2.364 -0.098
Hg -1.384 -6.236 -0.783
Hg -5.725 -2.912 0.401
Hg -3.125 -4.992 2.556
Mg -3.555 -4.574 -0.191
Cs -7.132 -5.573 3.169
Cs -2.642 -9.012 1.944
Tl 0.000 0.000 0.000
```

The space group is C2/m (12). The formation energy is -0.135 eV/atom.

---

# 8
DFT (GGA-PBE) results for BaFe3Pd after structural relaxation.

The structure in extended XYZ format:
```
5
Lattice="4.857 0.000 0.000 0.000 4.857 0.000 0.000 0.000 4.857" Properties=species:S:1:pos:R:3 pbc="T T T"
Pd 0.000 0.000 0.000
Ba 2.428 2.428 2.428
Fe 0.000 0.000 2.428
Fe 2.428 0.000 0.000
Fe 0.000 2.428 0.000
```

The space group is Pm-3m (221). The formation energy is 0.777 eV/atom.

---

# 9
DFT (GGA-PBE) results for LiPmDyGa after structural relaxation.

The structure in extended XYZ format:
```
4
Lattice="-3.142 -0.891 -3.997 -4.549 -2.317 0.760 -4.379 2.688 -0.490" Properties=species:S:1:pos:R:3 pbc="T T T"
Dy 0.000 0.000 0.000
Ga -3.017 -0.130 -0.932
Li -9.052 -0.390 -2.795
Pm -6.034 -0.260 -1.863
```

The space group is F-43m (216). The formation energy is -0.304 eV/atom.

---

# 10
DFT (GGA-PBE) results for RbCrCl3 after structural relaxation.

The structure in extended XYZ format:
```
10
Lattice="4.224 -11.067 0.000 4.224 11.067 0.000 0.000 0.000 5.154" Properties=species:S:1:pos:R:3 pbc="T T T"
Rb 4.224 -8.135 3.866
Rb 4.224 8.135 1.289
Cl 6.472 -3.877 3.866
Cl 0.000 0.000 2.577
Cl 1.975 -3.877 3.866
Cl 0.000 0.000 0.000
Cl 1.975 3.877 1.289
Cl 6.472 3.877 1.289
Cr 4.224 3.756 1.289
Cr 4.224 -3.756 3.866
```

The calculation puts the raw total energy at -40.8 eV for the cell shown. The space group is Cmcm (63).

---

# 11
DFT (GGA-PBE) results for CuC5 after structural relaxation.

The structure in extended XYZ format:
```
6
Lattice="1.641 -2.842 0.000 1.641 2.842 0.000 0.000 0.000 7.402" Properties=species:S:1:pos:R:3 pbc="T T T"
C 1.641 -0.947 0.000
C 0.820 1.421 3.701
C 1.641 0.000 3.701
C 1.641 0.947 0.000
C 0.820 -1.421 3.701
Cu 0.000 0.000 0.000
```

The calculation puts the excess energy over the best structure of this formula in the dataset at 11.760 eV per formula unit. The space group is P6/mmm (191). The formation energy is 2.740 eV/atom.

---

# 12
DFT (GGA-PBE) results for Ag2PdI6 after structural relaxation.

The structure in extended XYZ format:
```
18
Lattice="-2.852 -0.785 7.121 6.645 -1.284 2.520 1.381 11.039 1.981" Properties=species:S:1:pos:R:3 pbc="T T T"
I 1.545 -0.343 2.222
I 2.079 3.816 2.607
I 4.217 7.534 5.988
I 3.630 9.314 9.400
I 3.095 5.155 9.015
I 0.958 1.437 5.633
I 1.628 7.628 2.515
I 0.720 9.063 6.921
I -0.023 4.945 6.457
I 5.197 4.026 5.165
I 4.455 -0.093 4.701
I 3.547 1.342 9.107
Pd 0.691 5.520 0.991
Pd 1.897 -1.034 4.820
Ag 0.667 0.886 8.511
Ag -0.198 7.374 4.810
Ag 5.373 1.596 6.812
Ag 4.508 8.085 3.111
```

The calculation puts the excess energy over the best structure of this formula in the dataset at 0.035 eV per formula unit. The space group is P2_1/c (14).

---

Volume readings, ordered: 15.07 18.94 32.40 13.42 18.78 20.69 39.03 22.91 24.30 48.19 11.50 34.96 Å³ per atom